Record 1
## Zn2BBr (GGA-PBEsol)

Data for a relaxed Zn2BBr crystal.

Formation energy from raw total energies   1.183 eV/atom
Density of states at the Fermi level   0.897 states/eV/atom
Crystal system   cubic

a = 4.502 Å, b = 4.502 Å, c = 4.502 Å
α = 60.00°, β = 60.00°, γ = 60.00°
Element x y z (fractional)
1 Zn 0.250 0.250 0.250
2 Zn 0.750 0.750 0.750
3 B 0.000 0.000 0.000
4 Br 0.500 0.500 0.500

Record 2
## TlSi3 (GGA-PBEsol)

Data for a relaxed TlSi3 crystal.

Formation energy from raw total energies   0.674 eV/atom
E above lowest polymorph   0 meV/atom
Density of states at the Fermi level   0.494 states/eV/atom
Crystal system   trigonal

a = 5.340 Å, b = 5.340 Å, c = 5.340 Å
α = 116.32°, β = 116.32°, γ = 116.32°
Element x y z (fractional)
1 Tl 0.000 0.000 0.000
2 Si 0.000 0.500 0.500
3 Si 0.500 0.000 0.500
4 Si 0.500 0.500 0.000

Record 3
## ZrCrAg2 (GGA-PBEsol)

Data for a relaxed ZrCrAg2 crystal.

E above lowest polymorph   0 meV/atom
Density of states at the Fermi level   0.565 states/eV/atom
Crystal system   tetragonal

a = 3.331 Å, b = 3.331 Å, c = 6.122 Å
α = 90.00°, β = 90.00°, γ = 90.00°
Element x y z (fractional)
1 Zr 0.000 0.000 0.000
2 Cr 0.500 0.500 0.754
3 Ag 0.000 0.000 0.516
4 Ag 0.500 0.500 0.276

Record 4
## SrTl2Sn (GGA-PBEsol)

Data for a relaxed SrTl2Sn crystal.

E   -12.6 eV per formula unit
Density of states at the Fermi level   0.445 states/eV/atom
Crystal system   cubic

a = 5.474 Å, b = 5.474 Å, c = 5.474 Å
α = 60.00°, β = 60.00°, γ = 60.00°
Element x y z (fractional)
1 Sr 0.000 0.000 0.000
2 Tl 0.250 0.250 0.250
3 Tl 0.750 0.750 0.750
4 Sn 0.500 0.500 0.500

Record 5
## BeCo2OsPt (GGA-PBEsol)

Data for a relaxed BeCo2OsPt crystal.

E   -35.4 eV per formula unit
Density of states at the Fermi level   1.172 states/eV/atom
Crystal system   tetragonal

a = 3.893 Å, b = 3.893 Å, c = 3.989 Å
α = 90.00°, β = 90.00°, γ = 90.00°
Element x y z (fractional)
1 Be 0.000 0.000 0.000
2 Co 0.000 0.500 0.000
3 Co 0.500 0.000 0.000
4 Os 0.500 0.500 0.500
5 Pt 0.000 0.000 0.500

Record 6
## Li8Sm7Ge10 (GGA-PBEsol)

Data for a relaxed Li8Sm7Ge10 crystal.

E   -118.9 eV per formula unit
Density of states at the Fermi level   0.177 states/eV/atom
Crystal system   orthorhombic

a = 16.729 Å, b = 16.729 Å, c = 4.334 Å
α = 90.00°, β = 90.00°, γ = 156.73°
Element x y z (fractional)
1 Li 0.045 0.331 0.000
2 Li 0.234 0.385 0.500
3 Li 0.331 0.045 0.000
4 Li 0.385 0.234 0.500
5 Li 0.615 0.766 0.500
6 Li 0.669 0.955 0.000
7 Li 0.766 0.615 0.500
8 Li 0.955 0.669 0.000
9 Sm 0.057 0.943 0.000
10 Sm 0.221 0.779 0.500
11 Sm 0.339 0.661 0.500
12 Sm 0.500 0.500 0.000
13 Sm 0.661 0.339 0.500
14 Sm 0.779 0.221 0.500
15 Sm 0.943 0.057 0.000
16 Ge 0.100 0.530 0.000
17 Ge 0.126 0.874 0.500
18 Ge 0.187 0.187 0.500
19 Ge 0.406 0.594 0.000
20 Ge 0.470 0.900 0.000
21 Ge 0.530 0.100 0.000
22 Ge 0.594 0.406 0.000
23 Ge 0.813 0.813 0.500
24 Ge 0.874 0.126 0.500
25 Ge 0.900 0.470 0.000

Record 7
## Nd2Ti12Cu9O36 (GGA-PBEsol)

Data for a relaxed Nd2Ti12Cu9O36 crystal.

Formation energy from raw total energies   -2.326 eV/atom
Density of states at the Fermi level   0.147 states/eV/atom
Crystal system   trigonal

a = 10.418 Å, b = 10.418 Å, c = 6.404 Å
α = 90.00°, β = 90.00°, γ = 120.00°
Element x y z (fractional)
1 Nd 0.333 0.667 0.328
2 Nd 0.667 0.333 0.672
3 Ti 0.000 0.000 0.500
4 Ti 0.000 0.500 0.500
5 Ti 0.157 0.839 0.162
6 Ti 0.161 0.318 0.162
7 Ti 0.318 0.157 0.838
8 Ti 0.333 0.667 0.839
9 Ti 0.500 0.000 0.500
10 Ti 0.500 0.500 0.500
11 Ti 0.667 0.333 0.161
12 Ti 0.682 0.843 0.162
13 Ti 0.839 0.682 0.838
14 Ti 0.843 0.161 0.838
15 Cu 0.000 0.500 0.000
16 Cu 0.168 0.337 0.661
17 Cu 0.168 0.832 0.661
18 Cu 0.337 0.168 0.339
19 Cu 0.500 0.000 0.000
20 Cu 0.500 0.500 0.000
21 Cu 0.663 0.832 0.661
22 Cu 0.832 0.168 0.339
23 Cu 0.832 0.663 0.339
24 O 0.015 0.851 0.330
25 O 0.045 0.776 0.909
26 O 0.073 0.625 0.249
27 O 0.116 0.409 0.413
28 O 0.149 0.164 0.330
29 O 0.164 0.015 0.670
30 O 0.176 0.650 0.647
31 O 0.191 0.508 0.014
32 O 0.224 0.269 0.909
33 O 0.269 0.045 0.091
34 O 0.292 0.884 0.413
35 O 0.317 0.809 0.014
36 O 0.350 0.526 0.647
37 O 0.375 0.448 0.249
38 O 0.409 0.292 0.587
39 O 0.448 0.073 0.751
40 O 0.474 0.824 0.647
41 O 0.492 0.683 0.014
42 O 0.508 0.317 0.986
43 O 0.526 0.176 0.353
44 O 0.552 0.927 0.249
45 O 0.591 0.708 0.413
46 O 0.625 0.552 0.751
47 O 0.650 0.474 0.353
48 O 0.683 0.191 0.986
49 O 0.708 0.116 0.587
50 O 0.731 0.955 0.909
51 O 0.776 0.731 0.091
52 O 0.809 0.492 0.986
53 O 0.824 0.350 0.353
54 O 0.836 0.985 0.330
55 O 0.851 0.836 0.670
56 O 0.884 0.591 0.587
57 O 0.927 0.375 0.751
58 O 0.955 0.224 0.091
59 O 0.985 0.149 0.670

Record 8
## Sc2Ni2Sn (GGA-PBEsol)

Data for a relaxed Sc2Ni2Sn crystal.

E   -33.0 eV per formula unit
Density of states at the Fermi level   0.611 states/eV/atom
Crystal system   tetragonal

a = 7.065 Å, b = 7.065 Å, c = 3.285 Å
α = 90.00°, β = 90.00°, γ = 90.00°
Element x y z (fractional)
1 Sc 0.169 0.331 0.000
2 Sc 0.331 0.831 0.000
3 Sc 0.669 0.169 0.000
4 Sc 0.831 0.669 0.000
5 Ni 0.124 0.624 0.500
6 Ni 0.376 0.124 0.500
7 Ni 0.624 0.876 0.500
8 Ni 0.876 0.376 0.500
9 Sn 0.000 0.000 0.500
10 Sn 0.500 0.500 0.500

Record 9
## CsSnPS4 (GGA-PBEsol)

Data for a relaxed CsSnPS4 crystal.

Formation energy from raw total energies   -0.668 eV/atom
Density of states at the Fermi level   0.000 states/eV/atom
Crystal system   orthorhombic

a = 17.961 Å, b = 6.610 Å, c = 6.196 Å
α = 90.00°, β = 90.00°, γ = 90.00°
Element x y z (fractional)
1 Cs 0.208 0.250 0.049
2 Cs 0.292 0.750 0.549
3 Cs 0.708 0.250 0.451
4 Cs 0.792 0.750 0.951
5 Sn 0.012 0.750 0.289
6 Sn 0.488 0.250 0.789
7 Sn 0.512 0.750 0.211
8 Sn 0.988 0.250 0.711
9 P 0.092 0.750 0.788
10 P 0.408 0.250 0.288
11 P 0.592 0.750 0.712
12 P 0.908 0.250 0.212
13 S 0.021 0.250 0.148
14 S 0.116 0.000 0.607
15 S 0.116 0.500 0.607
16 S 0.151 0.750 0.068
17 S 0.349 0.250 0.568
18 S 0.384 0.000 0.107
19 S 0.384 0.500 0.107
20 S 0.479 0.750 0.648
21 S 0.521 0.250 0.352
22 S 0.616 0.000 0.893
23 S 0.616 0.500 0.893
24 S 0.651 0.750 0.432
25 S 0.849 0.250 0.932
26 S 0.884 0.000 0.393
27 S 0.884 0.500 0.393
28 S 0.979 0.750 0.852

Record 10
## GaNiI2O (GGA-PBEsol)

Data for a relaxed GaNiI2O crystal.

Formation energy from raw total energies   -0.189 eV/atom
Density of states at the Fermi level   0.797 states/eV/atom
Crystal system   tetragonal

a = 5.463 Å, b = 5.463 Å, c = 3.584 Å
α = 90.00°, β = 90.00°, γ = 90.00°
Element x y z (fractional)
1 Ga 0.000 0.000 0.000
2 Ni 0.500 0.500 0.500
3 I 0.000 0.500 0.500
4 I 0.500 0.000 0.500
5 O 0.500 0.500 0.000

Record 11
## CaLaBr2 (GGA-PBEsol)

Data for a relaxed CaLaBr2 crystal.

Formation energy from raw total energies   -1.304 eV/atom
E above lowest polymorph   6 meV/atom
Density of states at the Fermi level   0.722 states/eV/atom
Crystal system   trigonal

a = 9.063 Å, b = 9.063 Å, c = 9.063 Å
α = 24.08°, β = 24.08°, γ = 24.08°
Element x y z (fractional)
1 Ca 0.000 0.000 0.000
2 La 0.500 0.500 0.500
3 Br 0.250 0.250 0.250
4 Br 0.750 0.750 0.750

Record 12
## CoP3C (GGA-PBEsol)

Data for a relaxed CoP3C crystal.

E   -29.7 eV per formula unit
Density of states at the Fermi level   0.660 states/eV/atom
Crystal system   cubic

a = 3.847 Å, b = 3.847 Å, c = 3.847 Å
α = 90.00°, β = 90.00°, γ = 90.00°
Element x y z (fractional)
1 Co 0.000 0.000 0.000
2 P 0.000 0.500 0.500
3 P 0.500 0.000 0.500
4 P 0.500 0.500 0.000
5 C 0.500 0.500 0.500

- What is the density of states at the Fermi level in the fourth record?
  0.445 states/eV/atom

- Look up the density of states at the Fermi level of the first one.
  0.897 states/eV/atom

Repeat the first record exactly.
## Zn2BBr (GGA-PBEsol)

Data for a relaxed Zn2BBr crystal.

Formation energy from raw total energies   1.183 eV/atom
Density of states at the Fermi level   0.897 states/eV/atom
Crystal system   cubic

a = 4.502 Å, b = 4.502 Å, c = 4.502 Å
α = 60.00°, β = 60.00°, γ = 60.00°
Element x y z (fractional)
1 Zn 0.250 0.250 0.250
2 Zn 0.750 0.750 0.750
3 B 0.000 0.000 0.000
4 Br 0.500 0.500 0.500